VASP calculation (GGA-PBE) on a relaxed BeAgMo2 crystal.

Geometry as CIF:
```
data_BeAgMo2
_chemical_formula_sum 'Be1 Ag1 Mo2'
_cell_length_a 2.651
_cell_length_b 4.004
_cell_length_c 5.677
_cell_angle_alpha 90.00
_cell_angle_beta 90.00
_cell_angle_gamma 90.00
_symmetry_space_group_name_H-M 'P 1'
_symmetry_Int_Tables_number 1
loop_
_symmetry_equiv_pos_as_xyz
'x,y,z'
loop_
_atom_site_label
_atom_site_fract_x
_atom_site_fract_y
_atom_site_fract_z
Ag1 0.000 0.000 0.518
Mo1 0.000 0.000 0.990
Mo2 0.500 0.500 0.230
Be1 0.500 0.500 0.762
```

Calculated values
Spin magnetization ... 0.000 μB/cell
Energy relative to the elements ... 435 meV/atom
Electronic total energy ... -26.5 eV/cell

VASP calculation (GGA-PBE) on a relaxed LaPrPd3 crystal.

Geometry as CIF:
```
data_LaPrPd3
_chemical_formula_sum 'La4 Pr4 Pd12'
_cell_length_a 7.080
_cell_length_b 8.057
_cell_length_c 8.133
_cell_angle_alpha 90.00
_cell_angle_beta 90.00
_cell_angle_gamma 90.00
_symmetry_space_group_name_H-M 'P 1'
_symmetry_Int_Tables_number 1
loop_
_symmetry_equiv_pos_as_xyz
'x,y,z'
loop_
_atom_site_label
_atom_site_fract_x
_atom_site_fract_y
_atom_site_fract_z
Pd1 0.500 0.500 0.749
Pd2 0.882 0.643 0.248
Pd3 0.382 0.857 0.748
Pr1 0.782 0.364 0.000
Pr2 0.218 0.636 0.000
La1 0.219 0.637 0.500
Pd4 0.500 0.500 0.251
Pd5 0.618 0.143 0.252
Pd6 0.000 0.000 0.751
Pr3 0.282 0.136 0.500
La2 0.719 0.863 0.000
Pd7 0.118 0.357 0.248
Pd8 0.382 0.857 0.252
Pd9 0.000 0.000 0.249
Pd10 0.882 0.643 0.752
Pd11 0.118 0.357 0.752
La3 0.781 0.363 0.500
Pd12 0.618 0.143 0.748
La4 0.281 0.137 0.000
Pr4 0.718 0.864 0.500
```

Calculated values
Spin magnetization ... 0.000 μB/cell
Energy relative to the elements ... -779 meV/atom
Electronic total energy ... -116.7 eV/cell